Model 1:
{"formula": "Li5AlO4", "functional": "PBEsol", "state": "relaxed", "lattice_angstrom": [[8.923, 0.000, 0.000], [0.000, 9.037, 0.000], [0.000, 0.000, 9.078]], "species": ["Al", "Al", "Al", "Al", "Al", "Al", "Al", "Al", "Li", "Li", "Li", "Li", "Li", "Li", "Li", "Li", "Li", "Li", "Li", "Li", "Li", "Li", "Li", "Li", "Li", "Li", "Li", "Li", "Li", "Li", "Li", "Li", "Li", "Li", "Li", "Li", "Li", "Li", "Li", "Li", "Li", "Li", "Li", "Li", "Li", "Li", "Li", "Li", "O", "O", "O", "O", "O", "O", "O", "O", "O", "O", "O", "O", "O", "O", "O", "O", "O", "O", "O", "O", "O", "O", "O", "O", "O", "O", "O", "O", "O", "O", "O", "O"], "fractional_positions": [[0.884, 0.856, 0.877], [0.116, 0.644, 0.377], [0.384, 0.144, 0.623], [0.616, 0.356, 0.123], [0.116, 0.144, 0.123], [0.884, 0.356, 0.623], [0.616, 0.856, 0.377], [0.384, 0.644, 0.877], [0.861, 0.886, 0.602], [0.139, 0.614, 0.102], [0.361, 0.114, 0.898], [0.639, 0.386, 0.398], [0.139, 0.114, 0.398], [0.861, 0.386, 0.898], [0.639, 0.886, 0.102], [0.361, 0.614, 0.602], [0.897, 0.881, 0.341], [0.103, 0.619, 0.841], [0.397, 0.119, 0.159], [0.603, 0.381, 0.659], [0.103, 0.119, 0.659], [0.897, 0.381, 0.159], [0.603, 0.881, 0.841], [0.397, 0.619, 0.341], [0.901, 0.627, 0.645], [0.099, 0.873, 0.145], [0.401, 0.373, 0.855], [0.599, 0.127, 0.355], [0.099, 0.373, 0.355], [0.901, 0.127, 0.855], [0.599, 0.627, 0.145], [0.401, 0.873, 0.645], [0.832, 0.606, 0.380], [0.168, 0.894, 0.880], [0.332, 0.394, 0.120], [0.668, 0.106, 0.620], [0.168, 0.394, 0.620], [0.832, 0.106, 0.120], [0.668, 0.606, 0.880], [0.332, 0.894, 0.380], [0.868, 0.647, 0.121], [0.132, 0.853, 0.621], [0.368, 0.353, 0.379], [0.632, 0.147, 0.879], [0.132, 0.353, 0.879], [0.868, 0.147, 0.379], [0.632, 0.647, 0.621], [0.368, 0.853, 0.121], [0.007, 0.752, 0.990], [0.993, 0.748, 0.490], [0.507, 0.248, 0.510], [0.493, 0.252, 0.010], [0.993, 0.248, 0.010], [0.007, 0.252, 0.510], [0.493, 0.752, 0.490], [0.507, 0.748, 0.990], [0.000, 0.963, 0.757], [0.000, 0.537, 0.257], [0.500, 0.037, 0.743], [0.500, 0.463, 0.243], [0.000, 0.037, 0.243], [0.000, 0.463, 0.743], [0.500, 0.963, 0.257], [0.500, 0.537, 0.757], [0.761, 0.986, 0.962], [0.239, 0.514, 0.462], [0.261, 0.014, 0.538], [0.739, 0.486, 0.038], [0.239, 0.014, 0.038], [0.761, 0.486, 0.538], [0.739, 0.986, 0.462], [0.261, 0.514, 0.962], [0.768, 0.752, 0.757], [0.232, 0.748, 0.257], [0.268, 0.248, 0.743], [0.732, 0.252, 0.243], [0.232, 0.248, 0.243], [0.768, 0.252, 0.743], [0.732, 0.752, 0.257], [0.268, 0.748, 0.757]], "space_group": "No. 61"}

Model 2:
{"formula": "Li5AlO4", "functional": "PBEsol", "state": "relaxed", "lattice_angstrom": [[4.606, 0.000, 0.000], [0.000, 6.267, 0.000], [0.000, 0.000, 6.395]], "species": ["Al", "Al", "Li", "Li", "Li", "Li", "Li", "Li", "Li", "Li", "Li", "Li", "O", "O", "O", "O", "O", "O", "O", "O"], "fractional_positions": [[0.776, 0.500, 0.000], [0.224, 0.000, 0.500], [0.254, 0.739, 0.803], [0.254, 0.261, 0.197], [0.746, 0.761, 0.303], [0.746, 0.239, 0.697], [0.746, 0.761, 0.697], [0.746, 0.239, 0.303], [0.254, 0.739, 0.197], [0.254, 0.261, 0.803], [0.205, 0.500, 0.500], [0.795, 0.000, 0.000], [0.985, 0.500, 0.766], [0.985, 0.500, 0.234], [0.015, 0.000, 0.266], [0.015, 0.000, 0.734], [0.569, 0.738, 0.000], [0.569, 0.262, 0.000], [0.431, 0.762, 0.500], [0.431, 0.238, 0.500]], "space_group": "No. 59"}

Result of the stability comparison: model 2 is the least stable of them.

Model 1:
{"formula": "LiAl2Os", "functional": "PBEsol", "state": "relaxed", "lattice_angstrom": [[2.662, 0.000, 0.000], [-1.331, 4.307, -0.001], [0.000, -0.555, 4.994]], "species": ["Os", "Al", "Al", "Li"], "fractional_positions": [[0.500, 0.000, 0.000], [0.760, 0.521, 0.763], [0.240, 0.479, 0.237], [0.000, 0.000, 0.500]], "space_group": "No. 12"}

Model 2:
{"formula": "LiAl2Os", "functional": "PBEsol", "state": "relaxed", "lattice_angstrom": [[-1.299, 2.079, -1.772], [-3.773, -1.749, 0.713], [-0.535, 2.517, 3.344]], "species": ["Os", "Al", "Al", "Li"], "fractional_positions": [[0.500, 0.500, 0.500], [0.000, 0.000, 0.500], [0.000, 0.500, 0.000], [0.500, 0.000, 0.000]], "space_group": "No. 123"}

Result of the stability comparison: model 1 is the least stable of them.